1.
Sr2Al7In: optimized geometry, PBE-GGA.

Volume, Å³/atom: 23.2
Energy of formation, eV per atom: -0.2218
N(E_F), states/eV/atom: 0.200
Size of the total moment, μB/f.u.: 0.0

Unit cell a=4.5233 b=4.5233 c=11.3424 alpha=90.00 beta=90.00 gamma=90.00
Space group P-4m2 (No. 115)
Symmetry-distinct sites (fractional):
Sr (0.0000, 0.5000, 0.2451) x2
Al (0.0000, 0.0000, 0.0000) x1
Al (0.0000, 0.5000, 0.6397) x2
Al (0.0000, 0.5000, 0.8702) x2
Al (0.5000, 0.5000, 0.0000) x1
Al (0.5000, 0.5000, 0.5000) x1
In (0.0000, 0.0000, 0.5000) x1


2.
LiAu3I: optimized geometry, PBE-GGA.

Energy relative to the elements, uncorrected, eV per atom: 0.419
Volume, Å³/atom: 21.4
N(E_F), states/eV/atom: 0.894
Size of the total moment, μB/f.u.: 0.0

Unit cell a=4.7490 b=4.7490 c=4.7490 alpha=90.00 beta=90.00 gamma=90.00
Space group Pm-3m (No. 221)
Symmetry-distinct sites (fractional):
Li (0.0000, 0.0000, 0.0000) x1
Au (0.0000, 0.0000, 0.5000) x3
I (0.5000, 0.5000, 0.5000) x1